Nb2VF | PBE with a Hubbard U | relaxed

Lattice parameters (Å, degrees): 11.3435 11.3435 11.3435 161.50 161.50 26.27
Last column: nearest neighbours and their distance in Å.
Sites, in units of the cell vectors:
Nb 0.1167 0.6250 0.9917  4 Nb 2.54-2.62
Nb 0.3750 0.3667 0.4917  4 Nb 2.54-2.62
Nb 0.6333 0.1250 0.0083  4 Nb 2.54-2.62
Nb 0.8750 0.8833 0.5083  4 Nb 2.54-2.62
V 0.0000 0.0000 0.0000  4 F 2.58
V 0.7500 0.2500 0.5000  4 F 2.58
F 0.2500 0.7500 0.5000  4 V 2.58
F 0.5000 0.5000 0.0000  4 V 2.58

- Calculated total energy: -56.206 eV/cell